Record 1
## LiNiSbRu (PBE-GGA)

Data for a relaxed LiNiSbRu crystal.

Values from the calculation:
Volume in Å³/atom: 14.110
ΔE_f (raw) in meV/atom: -213

a b c (Å): 6.089 6.089 6.089
angles (deg): 90.00 90.00 90.00
Space group F-43m (No. 216)
One atom of each set of equivalent atoms:
Li1 0.000 0.000 0.000 x4
Ni1 0.250 0.250 0.250 x4
Sb1 0.000 0.000 0.500 x4
Ru1 0.250 0.250 0.750 x4

Record 2
## CeTmBi2 (PBE-GGA)

Data for a relaxed CeTmBi2 crystal.

Values from the calculation:
Volume in Å³/atom: 33.403
E above lowest polymorph in eV per formula unit: 0.45
Calculated formation energy in eV/atom: -0.675

a b c (Å): 4.4896 4.4896 22.9630
angles (deg): 90.00 90.00 120.00
Space group R3m (No. 160, hexagonal axes)
One atom of each set of equivalent atoms:
Ce1 0.0000 0.0000 0.0000 x3
Tm1 0.0000 0.0000 0.1711 x3
Bi1 0.0000 0.0000 0.4203 x3
Bi2 0.0000 0.0000 0.5840 x3

Record 3
## Y3ScZn (PBE-GGA)

Data for a relaxed Y3ScZn crystal.

Values from the calculation:
Volume in Å³/atom: 27.038
E above lowest polymorph in eV per formula unit: 0.00
Calculated formation energy in eV/atom: -0.131

a b c (Å): 28.572 3.577 5.291
angles (deg): 90.00 90.02 90.00
Space group C2/m (No. 12)
One atom of each set of equivalent atoms:
Y1 0.046 0.000 0.248 x4
Y2 0.128 0.000 0.749 x4
Y3 0.163 0.500 0.250 x4
Sc1 0.234 0.500 0.750 x4
Zn1 0.041 0.500 0.746 x4

Record 4
## CdPPt3 (PBE-GGA)

Data for a relaxed CdPPt3 crystal.

Values from the calculation:
Volume in Å³/atom: 18.648
E above lowest polymorph in eV per formula unit: 1.54
Calculated formation energy in eV/atom: -0.059

a b c (Å): 4.535 4.535 4.535
angles (deg): 90.00 90.00 90.00
Space group Pm-3m (No. 221)
One atom of each set of equivalent atoms:
Cd1 0.000 0.000 0.000 x1
P1 0.500 0.500 0.500 x1
Pt1 0.000 0.500 0.500 x3

Record 5
## Pr2YTm (PBE-GGA)

Data for a relaxed Pr2YTm crystal.

Values from the calculation:
Volume in Å³/atom: 33.630
E above lowest polymorph in eV per formula unit: 0.03
Calculated formation energy in eV/atom: 0.024

a b c (Å): 3.6383 3.6383 35.2031
angles (deg): 90.00 90.00 120.00
Space group R3m (No. 160, hexagonal axes)
One atom of each set of equivalent atoms:
Pr1 0.0000 0.0000 0.0000 x3
Pr2 0.0000 0.0000 0.1680 x3
Y1 0.0000 0.0000 0.7510 x3
Tm1 0.0000 0.0000 0.5833 x3

Record 6
## Sm6SnTe3Ir2 (PBE-GGA)

Data for a relaxed Sm6SnTe3Ir2 crystal.

Values from the calculation:
Volume in Å³/atom: 29.527
ΔE_f (raw) in meV/atom: -1029

a b c (Å): 19.378 4.262 8.972
angles (deg): 90.00 106.97 90.00
Space group C2/m (No. 12)
One atom of each set of equivalent atoms:
Sm1 0.013 0.000 0.256 x4
Sm2 0.170 0.500 0.116 x4
Sm3 0.179 0.500 0.561 x4
Sn1 0.000 0.500 0.000 x2
Te1 0.000 0.500 0.500 x2
Te2 0.161 0.000 0.833 x4
Ir1 0.168 0.000 0.333 x4

Record 7
## HoTm2Ni (PBE-GGA)

Data for a relaxed HoTm2Ni crystal.

Values from the calculation:
Volume in Å³/atom: 24.583
E above lowest polymorph in eV per formula unit: 0.30
Calculated formation energy in eV/atom: -0.196

a b c (Å): 3.391 3.391 8.549
angles (deg): 90.00 90.00 90.00
Space group P4/mmm (No. 123)
One atom of each set of equivalent atoms:
Ho1 0.000 0.000 0.000 x1
Tm1 0.500 0.500 0.313 x2
Ni1 0.000 0.000 0.500 x1

Record 8
## LaTm5As6 (PBE-GGA)

Data for a relaxed LaTm5As6 crystal.

Values from the calculation:
Volume in Å³/atom: 24.707
Calculated formation energy in eV/atom: -1.499

a b c (Å): 7.135 12.358 7.134
angles (deg): 90.00 109.50 90.00
Space group C2/m (No. 12)
One atom of each set of equivalent atoms:
La1 0.000 0.000 0.000 x2
Tm1 0.000 0.164 0.500 x4
Tm2 0.000 0.333 0.000 x4
Tm3 0.000 0.500 0.500 x2
As1 0.242 0.500 0.255 x4
As2 0.243 0.329 0.744 x8

Record 9
## NaPrMg17 (PBE-GGA)

Data for a relaxed NaPrMg17 crystal.

Values from the calculation:
Volume in Å³/atom: 25.060
Calculated formation energy in eV/atom: -0.001

a b c (Å): 10.3576 10.3576 15.3747
angles (deg): 90.00 90.00 120.00
Space group R3m (No. 160, hexagonal axes)
One atom of each set of equivalent atoms:
Na1 0.0000 0.0000 0.0000 x3
Pr1 0.0000 0.0000 0.6728 x3
Mg1 0.0000 0.0000 0.2415 x3
Mg2 0.0000 0.0000 0.4399 x3
Mg3 0.0000 0.3016 0.3417 x18
Mg4 0.0041 0.5021 0.4928 x9
Mg5 0.1693 0.3387 0.5209 x9
Mg6 0.1708 0.3416 0.1776 x9

Record 10
## La2SiPb (PBE-GGA)

Data for a relaxed La2SiPb crystal.

Values from the calculation:
Volume in Å³/atom: 28.089
ΔE_f (raw) in meV/atom: -561
E above lowest polymorph in eV per formula unit: 0.00

a b c (Å): 3.532 3.532 9.005
angles (deg): 90.00 90.00 90.00
Space group P4/mmm (No. 123)
One atom of each set of equivalent atoms:
La1 0.000 0.000 0.217 x2
Si1 0.500 0.500 0.000 x1
Pb1 0.500 0.500 0.500 x1

Record 11
## CeTl2Ag (PBE-GGA)

Data for a relaxed CeTl2Ag crystal.

Values from the calculation:
Volume in Å³/atom: 25.390
E above lowest polymorph in eV per formula unit: 0.53
Calculated formation energy in eV/atom: -0.055

a b c (Å): 3.583 3.583 7.912
angles (deg): 90.00 90.00 90.00
Space group P4/mmm (No. 123)
One atom of each set of equivalent atoms:
Ce1 0.000 0.000 0.000 x1
Tl1 0.500 0.500 0.279 x2
Ag1 0.000 0.000 0.500 x1

Record 12
## Ac2As2Pd5 (PBE-GGA)

Data for a relaxed Ac2As2Pd5 crystal.

Values from the calculation:
Volume in Å³/atom: 20.771
Calculated formation energy in eV/atom: -0.837

a b c (Å): 4.457 4.457 9.411
angles (deg): 90.00 90.00 90.00
Space group P4/mmm (No. 123)
One atom of each set of equivalent atoms:
Ac1 0.000 0.000 0.000 x1
Ac2 0.000 0.000 0.500 x1
As1 0.500 0.500 0.147 x2
Pd1 0.000 0.500 0.274 x4
Pd2 0.500 0.500 0.500 x1

Record 13
## Ag2BrCl (PBE-GGA)

Data for a relaxed Ag2BrCl crystal.

Values from the calculation:
Volume in Å³/atom: 29.434
ΔE_f (raw) in meV/atom: -389
E above lowest polymorph in eV per formula unit: 0.00

a b c (Å): 6.195 6.195 12.272
angles (deg): 90.00 90.00 90.00
Space group I-42d (No. 122)
One atom of each set of equivalent atoms:
Ag1 0.237 0.250 0.125 x8
Br1 0.000 0.000 0.500 x4
Cl1 0.000 0.000 0.000 x4